No. 1
! ErPuAu | OQMD via LeMat-Bulk | PBE | relaxed; values from VASP
! Calculated total energy   -7.57 eV per atom
! SG   F-43m, No. 216
! Energy of formation from the pure elements   -0.25 eV/atom
! Excess energy over the best structure of this formula in the dataset   0.000 eV/atom
&SYSTEM
  ibrav = 0, nat = 3, ntyp = 3
/
ATOMIC_SPECIES
Au 196.97 Au.upf
Er 167.26 Er.upf
Pu 244.00 Pu.upf
ATOMIC_POSITIONS angstrom
Au 0.000 0.000 0.000
Er 1.760 1.760 1.760
Pu 5.279 5.279 5.279
CELL_PARAMETERS angstrom
0.000 3.519 3.519
3.519 0.000 3.519
3.519 3.519 0.000

---

No. 2
! LiCdAu | OQMD via LeMat-Bulk | PBE | relaxed; values from VASP
! Calculated total energy   -2.40 eV per atom
! SG   Cm, No. 8
! Excess energy over the best structure of this formula in the dataset   0.000 eV/atom
&SYSTEM
  ibrav = 0, nat = 6, ntyp = 3
/
ATOMIC_SPECIES
Au 196.97 Au.upf
Cd 112.41 Cd.upf
Li 6.94 Li.upf
ATOMIC_POSITIONS angstrom
Au 2.743 0.000 0.189
Au 5.404 0.000 3.700
Cd 2.734 0.000 2.932
Cd 0.059 0.000 4.846
Li 5.412 0.000 0.873
Li 0.064 0.000 1.900
CELL_PARAMETERS angstrom
4.008 -2.310 0.000
4.008 2.310 0.000
-0.013 0.000 5.748

---

No. 3
! RbAlCu | OQMD via LeMat-Bulk | PBE | relaxed; values from VASP
! Calculated total energy   -2.08 eV per atom
! SG   F-43m, No. 216
! Excess energy over the best structure of this formula in the dataset   0.000 eV/atom
&SYSTEM
  ibrav = 0, nat = 3, ntyp = 3
/
ATOMIC_SPECIES
Al 26.98 Al.upf
Cu 63.55 Cu.upf
Rb 85.47 Rb.upf
ATOMIC_POSITIONS angstrom
Al -2.958 0.518 -0.751
Cu 0.000 0.000 0.000
Rb -8.875 1.555 -2.254
CELL_PARAMETERS angstrom
-4.738 0.161 1.757
-3.259 3.406 -1.827
-3.836 -1.493 -2.935